# Nd3Ge6IrPd2

A geometry-optimized Nd3Ge6IrPd2 structure (PBE, Alexandria via LeMat-Bulk).

Computed properties:
SG: P-3m1 (164)
VASP energy in eV per atom: -5.547

Geometry as extended XYZ:
```
12
Lattice="-3.623 -0.240 4.785 5.089 -3.189 -0.076 3.953 6.229 3.306" Properties=species:S:1:pos:R:3 pbc="T T T"
Nd 4.656 1.688 3.611
Nd 0.763 1.113 4.404
Nd 0.000 0.000 0.000
Ge 3.009 -0.947 3.889
Ge 2.365 0.560 1.819
Ge 4.602 -0.842 1.785
Ge 3.055 2.240 6.196
Ge 2.410 3.747 4.126
Ge 0.817 3.642 6.229
Ir 1.977 3.115 1.653
Pd 3.146 4.867 6.397
Pd 2.273 -2.067 1.618
```